Entry from Alexandria: CrNi6Rh after structural relaxation (PBE-GGA).

Computed properties:
- volume (Å³ per cell) = 91.7
- energy of formation (eV per formula unit) = 0.1
- space-group type = No. 69

Lattice parameters (Å, degrees): 4.389 4.389 5.648 74.99 74.99 109.49
Positions (direct):
Ni1 0.627 0.127 0.746
Ni2 0.873 0.373 0.254
Ni3 0.746 0.746 0.507
Ni4 0.127 0.627 0.746
Ni5 0.254 0.254 0.493
Ni6 0.373 0.873 0.254
Rh1 0.000 0.000 0.000
Cr1 0.500 0.500 0.000